Compound: KBaLi2
Source: Alexandria via LeMat-Bulk
Functional: PBE
Structure: optimized geometry

POSCAR file:
```
KBaLi2
1.0
7.313 0.000 0.000
0.000 4.233 0.000
-2.413 0.000 11.681
K Ba Li
2 2 4
direct
0.000 0.000 0.000
0.500 0.500 0.000
0.167 0.000 0.501
0.667 0.500 0.501
0.081 0.500 0.744
0.419 0.000 0.257
0.581 0.000 0.744
0.919 0.500 0.257
```

Summary:
crystal system = monoclinic
ΔH_f (0 K) = 0.192 eV per atom
calculated density = 1748 kg/m3
energy above the most stable polymorph in this dataset = 90 meV per atom
total moment = 0.000 μB per atom
total DFT energy (no corrections) = -1.52 eV/atom